VASP calculation (PBE-GGA) on a relaxed Tm4SiTe2Pb crystal.

space-group type	P2/m, No. 10
final energy	-40.8	eV/cell
crystal system	monoclinic
ΔE_f (raw)	-0.937	eV per atom
N(E_F)	1.59	states/eV/cell

```
Tm4SiTe2Pb
1.0
4.2424 0.0000 0.0000
0.0000 7.4775 -0.1801
0.0000 2.6016 6.9955
Tm Pb Te Si
4 1 2 1
Direct
0.5000 0.2789 0.7282 Tm
0.0000 0.2694 0.2583 Tm
0.5000 0.7211 0.2718 Tm
0.0000 0.7306 0.7417 Tm
0.5000 0.5000 0.0000 Pb
0.0000 0.0000 0.0000 Te
0.5000 0.0000 0.5000 Te
0.0000 0.5000 0.5000 Si
```

***

VASP calculation (PBE-GGA) on a relaxed CeP2PtRh5 crystal.

space-group type	P4/mmm, No. 123
final energy	-64.0	eV/cell
crystal system	tetragonal
energy of formation from the pure elements	-492	meV/atom
N(E_F)	9.43	states/eV/cell

```
CeP2PtRh5
1.0
-1.9278 3.4071 0.6327
-1.4857 -1.4667 3.3714
8.1732 3.6602 5.1940
P Ce Rh Pt
2 1 5 1
Direct
0.5000 0.5000 0.2786 P
0.5000 0.5000 0.7214 P
0.0000 0.0000 0.5000 Ce
0.5000 0.0000 0.8296 Rh
0.0000 0.5000 0.8296 Rh
0.5000 0.0000 0.1704 Rh
0.0000 0.5000 0.1704 Rh
0.5000 0.5000 0.5000 Rh
0.0000 0.0000 0.0000 Pt
```

***

VASP calculation (PBE-GGA) on a relaxed TlCdIO2 crystal.

space-group type	P4/mmm, No. 123
final energy	-14.6	eV/cell
crystal system	tetragonal
ΔE_f (raw)	0.037	eV per atom
relative energy among the computed polymorphs	63	meV/atom
N(E_F)	2.22	states/eV/cell

```
TlCdIO2
1.0
4.2814 0.0000 0.0000
0.0000 6.6829 0.0000
0.0000 0.0000 4.2814
Tl O Cd I
1 2 1 1
Direct
0.0000 0.0000 0.0000 Tl
0.5000 0.0000 0.0000 O
0.0000 0.0000 0.5000 O
0.5000 0.5000 0.5000 Cd
0.0000 0.5000 0.0000 I
```

***

VASP calculation (PBE-GGA) on a relaxed NiSb3Pb crystal.

space-group type	Pm-3m, No. 221
final energy	-20.7	eV/cell
crystal system	cubic
ΔE_f (raw)	0.225	eV per atom
relative energy among the computed polymorphs	0	meV/atom
N(E_F)	3.25	states/eV/cell

```
NiSb3Pb
1.0
-1.5445 4.7833 0.8945
-2.0139 0.2260 -4.6860
-4.4300 -1.7704 1.8184
Pb Sb Ni
1 3 1
Direct
0.5000 0.5000 0.5000 Pb
0.0000 0.0000 0.5000 Sb
0.5000 0.0000 0.0000 Sb
0.0000 0.5000 0.0000 Sb
0.0000 0.0000 0.0000 Ni
```

***

VASP calculation (PBE-GGA) on a relaxed KRbO2 crystal.

space-group type	Amm2, No. 38
final energy	-15.7	eV/cell
crystal system	orthorhombic
ΔE_f (raw)	-0.921	eV per atom

```
KRbO2
1.0
-3.9994 -1.1672 -1.3111
1.8981 -3.1174 -3.0146
-0.5006 -2.6528 3.8886
K Rb O
1 1 2
Direct
0.5000 0.3934 0.6066 K
0.0000 0.9336 0.0664 Rb
0.5000 0.5997 0.1467 O
0.5000 0.8533 0.4003 O
```

***

VASP calculation (PBE-GGA) on a relaxed LiAl2Cu3 crystal.

space-group type	Cmcm, No. 63
final energy	-44.8	eV/cell
crystal system	orthorhombic
energy of formation from the pure elements	-122	meV/atom
relative energy among the computed polymorphs	92	meV/atom
N(E_F)	2.96	states/eV/cell

```
LiAl2Cu3
1.0
4.9413 -0.2702 -0.1925
0.2927 5.9177 -0.7721
0.2927 1.2034 5.8452
Li Al Cu
2 4 6
Direct
0.7500 0.8848 0.1152 Li
0.2500 0.1152 0.8848 Li
0.2500 0.9134 0.4145 Al
0.7500 0.0866 0.5855 Al
0.7500 0.4145 0.9134 Al
0.2500 0.5855 0.0866 Al
0.0000 0.2479 0.2478 Cu
0.5000 0.7522 0.7521 Cu
0.2500 0.4761 0.5239 Cu
0.5000 0.2478 0.2479 Cu
0.0000 0.7521 0.7522 Cu
0.7500 0.5239 0.4761 Cu
```

***

VASP calculation (PBE-GGA) on a relaxed Mg2FeB2Rh5 crystal.

space-group type	P4/mbm, No. 127
final energy	-133.5	eV/cell
crystal system	tetragonal
energy of formation from the pure elements	-500	meV/atom
N(E_F)	6.60	states/eV/cell

```
Mg2FeB2Rh5
1.0
-2.7901 0.6176 -0.5858
-1.0463 -8.4815 -3.9592
-2.5415 -3.5767 8.3339
Mg Fe B Rh
4 2 4 10
Direct
0.0000 0.8234 0.6766 Mg
0.0000 0.1766 0.3234 Mg
0.0000 0.3234 0.8234 Mg
0.0000 0.6766 0.1766 Mg
0.0000 0.0000 0.0000 Fe
0.0000 0.5000 0.5000 Fe
0.0000 0.8740 0.3740 B
0.0000 0.1260 0.6260 B
0.0000 0.6260 0.8740 B
0.0000 0.3740 0.1260 B
0.5000 0.5000 0.0000 Rh
0.5000 0.4295 0.2847 Rh
0.5000 0.5705 0.7153 Rh
0.5000 0.7847 0.9295 Rh
0.5000 0.0705 0.7847 Rh
0.5000 0.2847 0.5705 Rh
0.5000 0.9295 0.2153 Rh
0.5000 0.2153 0.0705 Rh
0.5000 0.0000 0.5000 Rh
0.5000 0.7153 0.4295 Rh
```

***

VASP calculation (PBE-GGA) on a relaxed LiCrRu2 crystal.

space-group type	Imm2, No. 44
final energy	-29.3	eV/cell
crystal system	orthorhombic
energy of formation from the pure elements	194	meV/atom
relative energy among the computed polymorphs	117	meV/atom
N(E_F)	3.83	states/eV/cell

```
LiCrRu2
1.0
4.8721 -0.1111 0.5603
4.0400 2.7254 0.5603
1.2732 0.3735 3.8566
Li Ru Cr
1 2 1
Direct
0.2457 0.2457 0.2541 Li
0.0021 0.0021 0.9982 Ru
0.7597 0.7597 0.7400 Ru
0.4926 0.4926 0.5077 Cr
```

***

VASP calculation (PBE-GGA) on a relaxed Dy4Ho5Th2 crystal.

space-group type	Immm, No. 71
final energy	-53.3	eV/cell
crystal system	orthorhombic
energy of formation from the pure elements	254	meV/atom
relative energy among the computed polymorphs	200	meV/atom
N(E_F)	14.43	states/eV/cell

```
Dy4Ho5Th2
1.0
3.4523 0.0000 0.0000
0.0000 11.4604 0.0000
-1.7262 -5.7302 9.1408
Th Ho Dy
2 5 4
Direct
0.7956 0.7956 0.5912 Th
0.2044 0.2044 0.4088 Th
0.1783 0.4671 0.3567 Ho
0.8217 0.1104 0.6433 Ho
0.5000 0.0000 0.0000 Ho
0.8217 0.5329 0.6433 Ho
0.1783 0.8896 0.3567 Ho
0.4097 0.4097 0.8193 Dy
0.0000 0.7268 0.0000 Dy
0.0000 0.2732 0.0000 Dy
0.5903 0.5903 0.1807 Dy
```

***

VASP calculation (PBE-GGA) on a relaxed MgBe2Ir crystal.

space-group type	Immm, No. 71
final energy	-18.8	eV/cell
crystal system	orthorhombic
energy of formation from the pure elements	-225	meV/atom
N(E_F)	0.73	states/eV/cell

```
MgBe2Ir
1.0
4.6044 0.0001 0.0020
1.7428 4.2618 -0.0020
-2.7927 -2.6982 2.4741
Be Ir Mg
2 1 1
Direct
0.9857 0.9857 0.0000 Be
0.5143 0.5143 0.0000 Be
0.7500 0.2500 0.5000 Ir
0.2500 0.7500 0.5000 Mg
```

***

VASP calculation (PBE-GGA) on a relaxed Ta3Cd crystal.

space-group type	Pnma, No. 62
final energy	-141.1	eV/cell
crystal system	orthorhombic
energy of formation from the pure elements	299	meV/atom
relative energy among the computed polymorphs	183	meV/atom
N(E_F)	13.08	states/eV/cell

```
Ta3Cd
1.0
-4.0685 1.1774 3.1822
-5.3521 -7.0270 -4.2426
1.9490 -3.8486 3.9157
Ta Cd
12 4
Direct
0.7525 0.9970 0.6144 Ta
0.7475 0.0030 0.1144 Ta
0.9715 0.2500 0.8494 Ta
0.7475 0.4970 0.1144 Ta
0.2525 0.5030 0.8856 Ta
0.2525 0.9970 0.8856 Ta
0.4715 0.2500 0.6506 Ta
0.2475 0.0030 0.3856 Ta
0.7525 0.5030 0.6144 Ta
0.5285 0.7500 0.3494 Ta
0.2475 0.4970 0.3856 Ta
0.0285 0.7500 0.1506 Ta
0.4415 0.2500 0.1398 Cd
0.5585 0.7500 0.8602 Cd
0.0585 0.7500 0.6398 Cd
0.9415 0.2500 0.3602 Cd
```

***

VASP calculation (PBE-GGA) on a relaxed YHgCl crystal.

space-group type	F-43m, No. 216
final energy	-9.3	eV/cell
crystal system	cubic
ΔE_f (raw)	-0.243	eV per atom
relative energy among the computed polymorphs	733	meV/atom
N(E_F)	2.63	states/eV/cell

```
YHgCl
1.0
-0.1157 -3.0425 4.0017
0.7617 -4.9372 -0.5725
4.2464 -2.1008 1.6847
Hg Cl Y
1 1 1
Direct
0.7500 0.7500 0.7500 Hg
0.5000 0.5000 0.5000 Cl
0.0000 0.0000 0.0000 Y
```

***

VASP calculation (PBE-GGA) on a relaxed YAgB2 crystal.

space-group type	Fm-3m, No. 225
final energy	-20.2	eV/cell
crystal system	cubic
energy of formation from the pure elements	624	meV/atom
relative energy among the computed polymorphs	208	meV/atom
N(E_F)	0.40	states/eV/cell

```
YAgB2
1.0
-2.4726 -2.3702 -2.6531
-4.0930 -0.9103 1.0903
-3.2765 1.8563 -2.1423
B Y Ag
2 1 1
Direct
0.7500 0.7500 0.7500 B
0.2500 0.2500 0.2500 B
0.0000 0.0000 0.0000 Y
0.5000 0.5000 0.5000 Ag
```

***

VASP calculation (PBE-GGA) on a relaxed ZrCdSb2I crystal.

space-group type	P4/mmm, No. 123
final energy	-18.7	eV/cell
crystal system	tetragonal
ΔE_f (raw)	0.106	eV per atom
relative energy among the computed polymorphs	0	meV/atom
N(E_F)	5.32	states/eV/cell

```
ZrCdSb2I
1.0
5.6226 0.0000 0.0000
0.0000 5.6226 0.0000
0.0000 0.0000 5.7436
Sb Zr I Cd
2 1 1 1
Direct
0.0000 0.5000 0.0000 Sb
0.5000 0.0000 0.0000 Sb
0.0000 0.0000 0.0000 Zr
0.0000 0.0000 0.5000 I
0.5000 0.5000 0.5000 Cd
```

***

VASP calculation (PBE-GGA) on a relaxed IrSe2Br crystal.

space-group type	P4mm, No. 99
final energy	-15.5	eV/cell
crystal system	tetragonal
ΔE_f (raw)	0.491	eV per atom
relative energy among the computed polymorphs	720	meV/atom
N(E_F)	3.27	states/eV/cell

```
IrSe2Br
1.0
-1.1855 -0.4684 3.2637
-3.2188 -0.5869 -1.2534
1.4743 -7.0635 -0.4783
Se Ir Br
2 1 1
Direct
0.0000 0.0000 0.9474 Se
0.5000 0.5000 0.1796 Se
0.5000 0.5000 0.8424 Ir
0.0000 0.0000 0.5307 Br
```

***

VASP calculation (PBE-GGA) on a relaxed Pd2RhF crystal.

space-group type	I-42d, No. 122
final energy	-37.6	eV/cell
crystal system	tetragonal
ΔE_f (raw)	0.204	eV per atom
relative energy among the computed polymorphs	76	meV/atom
N(E_F)	11.79	states/eV/cell

```
Pd2RhF
1.0
6.6976 0.0000 0.0000
0.0000 6.6976 0.0000
3.3488 3.3488 2.6928
F Pd Rh
2 4 2
Direct
0.2500 0.7500 0.5000 F
0.5000 0.5000 0.0000 F
0.5974 0.1250 0.2500 Pd
0.8750 0.8474 0.7500 Pd
0.3750 0.4026 0.7500 Pd
0.1526 0.6250 0.2500 Pd
0.7500 0.2500 0.5000 Rh
0.0000 0.0000 0.0000 Rh
```

***

VASP calculation (PBE-GGA) on a relaxed Ac7Sn2Pd2 crystal.

space-group type	Cmmm, No. 65
final energy	-51.7	eV/cell
crystal system	orthorhombic
energy of formation from the pure elements	-409	meV/atom
N(E_F)	13.72	states/eV/cell

```
Ac7Sn2Pd2
1.0
7.4859 -0.0030 -0.9921
0.0032 7.6135 0.0035
-1.4566 -0.0025 7.4095
Pd Ac Sn
2 7 2
Direct
0.7165 0.0000 0.2835 Pd
0.2835 0.0000 0.7165 Pd
0.0002 0.7375 0.4997 Ac
0.4998 0.2411 0.5002 Ac
0.4997 0.2625 0.0002 Ac
0.0000 0.0000 0.0000 Ac
0.5003 0.7375 0.9998 Ac
0.5002 0.7589 0.4998 Ac
0.9998 0.2625 0.5003 Ac
0.1697 0.5000 0.1697 Sn
0.8303 0.5000 0.8303 Sn
```

***

VASP calculation (PBE-GGA) on a relaxed Ag2WAu crystal.

space-group type	Pmmm, No. 47
final energy	-19.9	eV/cell
crystal system	orthorhombic
energy of formation from the pure elements	515	meV/atom
relative energy among the computed polymorphs	188	meV/atom
N(E_F)	2.57	states/eV/cell

```
Ag2WAu
1.0
2.7582 0.0000 0.0000
0.0000 4.9947 0.0000
0.0000 0.0000 5.0963
W Ag Au
1 2 1
Direct
0.0000 0.5000 0.5000 W
0.0000 0.0000 0.0000 Ag
0.5000 0.5000 0.0000 Ag
0.5000 0.0000 0.5000 Au
```

***

VASP calculation (PBE-GGA) on a relaxed Mn2Ir2Pt crystal.

space-group type	P4/mbm, No. 127
final energy	-83.7	eV/cell
crystal system	tetragonal
energy of formation from the pure elements	53	meV/atom
relative energy among the computed polymorphs	58	meV/atom
N(E_F)	12.21	states/eV/cell

```
Mn2Ir2Pt
1.0
-2.0198 6.1109 3.0753
1.3284 -2.7952 6.4267
2.5270 0.9009 -0.1305
Mn Ir Pt
4 4 2
Direct
0.1195 0.3805 0.0000 Mn
0.6195 0.1195 0.0000 Mn
0.3805 0.8805 0.0000 Mn
0.8805 0.6195 0.0000 Mn
0.8298 0.3298 0.5000 Ir
0.1702 0.6702 0.5000 Ir
0.3298 0.1702 0.5000 Ir
0.6702 0.8298 0.5000 Ir
0.0000 0.0000 0.0000 Pt
0.5000 0.5000 0.0000 Pt
```